Entry from Alexandria via LeMat-Bulk: a geometry-optimized NdVSO2 structure (PBE+U).

Cell and atoms, written as POSCAR:
```
NdVSO2
1.0
3.9343 0.0000 0.0000
0.0000 3.9343 -0.0001
0.0000 0.0001 5.4423
O V S Nd
2 1 1 1
Direct
0.5000 0.0000 0.9324 O
0.0000 0.5000 0.9324 O
0.0000 0.0000 0.0069 V
0.0000 0.0000 0.4579 S
0.5000 0.5000 0.6704 Nd
```

Values from the calculation:
- space group = No. 99
- volume (Å³ per atom) = 16.85
- final energy (eV for the cell shown) = -37.7
- magnetization (μB per formula unit) = 2.00
- crystal system = tetragonal